# PBE Ac2TlAu2, optimized geometry
data_Ac2TlAu2
_chemical_formula_sum 'Ac4 Tl2 Au4'
_cell_length_a 8.5153
_cell_length_b 8.5153
_cell_length_c 4.1307
_cell_angle_alpha 90.00
_cell_angle_beta 90.00
_cell_angle_gamma 90.00
_symmetry_space_group_name_H-M 'P 4/m b m'
_symmetry_Int_Tables_number 127
_symmetry_space_group_name_Hall '-P 4 2ab'
loop_
_atom_site_label
_atom_site_fract_x
_atom_site_fract_y
_atom_site_fract_z
_atom_site_occupancy
Ac1 0.1752 0.3248 0.0000 1
Tl1 0.0000 0.0000 0.5000 1
Au1 0.1233 0.6233 0.5000 1
# - Theoretical density: 11.67 g/cm³
# - V: 29.95 Å³ per atom
# - ΔH_f (0 K): -0.73 eV per atom

***

# PBE Co2PBr, optimized geometry
data_Co2PBr
_chemical_formula_sum 'Co2 P1 Br1'
_cell_length_a 3.6736
_cell_length_b 3.6737
_cell_length_c 5.6013
_cell_angle_alpha 90.00
_cell_angle_beta 90.84
_cell_angle_gamma 90.00
_symmetry_space_group_name_H-M 'P 1 m 1'
_symmetry_Int_Tables_number 6
loop_
_symmetry_equiv_pos_as_xyz
'x,y,z'
'x,-y,z'
loop_
_atom_site_label
_atom_site_fract_x
_atom_site_fract_y
_atom_site_fract_z
_atom_site_occupancy
Co1 0.0000 0.0000 0.0000 1
Co2 0.5002 0.5000 0.9998 1
P1 0.4955 0.0000 0.7969 1
Br1 0.0065 0.5000 0.2777 1
# - Theoretical density: 5.03 g/cm³
# - V: 18.90 Å³ per atom
# - Formation energy (no corrections): -0.1 eV/f.u.

***

# PBE Ac3NpCl2O6, optimized geometry
data_Ac3NpCl2O6
_chemical_formula_sum 'Ac6 Np2 Cl4 O12'
_cell_length_a 13.0491
_cell_length_b 7.1757
_cell_length_c 5.6605
_cell_angle_alpha 90.00
_cell_angle_beta 99.41
_cell_angle_gamma 90.00
_symmetry_space_group_name_H-M 'C 1 2/m 1'
_symmetry_Int_Tables_number 12
loop_
_symmetry_equiv_pos_as_xyz
'x,y,z'
'-x,-y,-z'
'-x,y,-z'
'x,-y,z'
'x+1/2,y+1/2,z'
'-x+1/2,-y+1/2,-z'
'-x+1/2,y+1/2,-z'
'x+1/2,-y+1/2,z'
loop_
_atom_site_label
_atom_site_fract_x
_atom_site_fract_y
_atom_site_fract_z
_atom_site_occupancy
Ac1 0.0000 0.0000 0.0000 1
Ac2 0.2500 0.2500 0.5000 1
Np1 0.0000 0.5000 0.5000 1
Cl1 0.2092 0.0000 0.8856 1
O1 0.0660 0.2598 0.3047 1
O2 0.1545 0.5000 0.6593 1
# - Theoretical density: 6.89 g/cm³
# - V: 21.79 Å³ per atom
# - Formation energy (no corrections): -33.6 eV/f.u.

***

# PBE Ca2AcRu, optimized geometry
data_Ca2AcRu
_chemical_formula_sum 'Ca8 Ac4 Ru4'
_cell_length_a 4.0906
_cell_length_b 12.8973
_cell_length_c 9.7871
_cell_angle_alpha 90.00
_cell_angle_beta 90.00
_cell_angle_gamma 90.00
_symmetry_space_group_name_H-M 'C m c m'
_symmetry_Int_Tables_number 63
_symmetry_space_group_name_Hall '-C 2c 2'
loop_
_atom_site_label
_atom_site_fract_x
_atom_site_fract_y
_atom_site_fract_z
_atom_site_occupancy
Ca1 0.0000 0.1544 0.0713 1
Ac1 0.0000 0.4179 0.2500 1
Ru1 0.0000 0.2306 0.7500 1
# - Theoretical density: 5.25 g/cm³
# - V: 32.27 Å³ per atom
# - ΔH_f (0 K): -0.06 eV per atom